DFT (PBE) results for a geometry-optimized Sm2SCl3 structure.

* calculated volume: 29.14 Å³/atom
* final energy: -5.244 eV per atom

Cell lengths 15.9525, 4.2734, 12.0522 Å; angles 90.00, 121.65, 90.00 degrees
Space group C2/m (No. 12)
Asymmetric unit:
Sm1 0.1028 0.0000 0.4477 x4
Sm2 0.1279 0.5000 0.8273 x4
S1 0.1079 0.0000 0.6818 x4
Cl1 0.0660 0.5000 0.2625 x4
Cl2 0.1637 0.0000 0.0153 x4
Cl3 0.2315 0.5000 0.5955 x4